1.
VASP calculation (PBE) on TaCoTcB after structural relaxation.

Calculated values
E above lowest polymorph = 0.000 eV per atom
VASP energy = -35.35 eV/f.u.
volume = 12.5 Å³/atom

Unit cell a=5.845 b=5.845 c=5.845 alpha=90.00 beta=90.00 gamma=90.00
Space group F-43m (No. 216)
Inequivalent atoms, fractional coordinates:
Ta  0.000  0.000  0.000 x4
Co  0.250  0.250  0.750 x4
Tc  0.250  0.250  0.250 x4
B  0.000  0.000  0.500 x4

***

2.
VASP calculation (PBE) on TaCoTcB after structural relaxation.

Calculated values
E above lowest polymorph = 0.384 eV per atom
VASP energy = -33.82 eV/f.u.
volume = 12.9 Å³/atom

Unit cell a=5.916 b=5.916 c=5.916 alpha=90.00 beta=90.00 gamma=90.00
Space group F-43m (No. 216)
Inequivalent atoms, fractional coordinates:
Ta  0.000  0.000  0.000 x4
Co  0.000  0.000  0.500 x4
Tc  0.250  0.250  0.750 x4
B  0.250  0.250  0.250 x4